[1]
DFT (PBE) results for LaPm5Dy2Er after structural relaxation.

Calculated values
calculated total energy: -4.566 eV per atom
symmetry: Cmc2_1 (36)

a b c (Å): 10.489 10.489 10.668
angles (deg): 90.00 90.00 148.40
Atoms (fractional coordinates):
La1 0.084 0.916 0.500
La2 0.916 0.084 0.000
Pm1 0.019 0.981 0.788
Pm2 0.115 0.885 0.070
Pm3 0.204 0.796 0.754
Pm4 0.219 0.781 0.361
Pm5 0.483 0.517 0.070
Pm6 0.517 0.483 0.570
Pm7 0.781 0.219 0.861
Pm8 0.796 0.204 0.254
Pm9 0.885 0.115 0.570
Pm10 0.981 0.019 0.288
Dy1 0.385 0.615 0.365
Dy2 0.387 0.613 0.780
Dy3 0.613 0.387 0.280
Dy4 0.615 0.385 0.865
Er1 0.300 0.700 0.058
Er2 0.700 0.300 0.558

=====

[2]
DFT (PBE) results for LaPm2Dy2Er2 after structural relaxation.

Calculated values
calculated total energy: -4.624 eV per atom
symmetry: C2/m (12)

a b c (Å): 11.998 11.998 5.642
angles (deg): 103.55 103.55 16.92
Atoms (fractional coordinates):
La1 0.000 0.000 0.000
Pm1 0.355 0.355 0.856
Pm2 0.645 0.645 0.144
Dy1 0.427 0.427 0.428
Dy2 0.573 0.573 0.572
Er1 0.208 0.208 0.707
Er2 0.792 0.792 0.293

=====

[3]
DFT (PBE) results for LaPmDyEr after structural relaxation.

Calculated values
calculated total energy: -4.607 eV per atom
symmetry: Cm (8)

a b c (Å): 6.911 6.911 3.803
angles (deg): 105.42 105.42 50.70
Atoms (fractional coordinates):
La1 0.000 0.000 0.000
Pm1 0.734 0.734 0.160
Dy1 0.256 0.256 0.694
Er1 0.492 0.492 0.456

=====

[4]
DFT (PBE) results for LaPm2Dy4Er after structural relaxation.

Calculated values
calculated total energy: -4.652 eV per atom
symmetry: Pmmm (47)

a b c (Å): 5.079 5.098 10.126
angles (deg): 90.00 90.00 90.00
Atoms (fractional coordinates):
La1 0.000 0.000 0.000
Pm1 0.000 0.000 0.500
Pm2 0.500 0.500 0.000
Dy1 0.000 0.500 0.254
Dy2 0.000 0.500 0.746
Dy3 0.500 0.000 0.254
Dy4 0.500 0.000 0.746
Er1 0.500 0.500 0.500

=====

[5]
DFT (PBE) results for LaPm3Dy6Er2 after structural relaxation.

Calculated values
calculated total energy: -4.641 eV per atom
symmetry: C2/m (12)

a b c (Å): 6.204 6.204 11.863
angles (deg): 94.99 94.99 119.98
Atoms (fractional coordinates):
La1 0.000 0.000 0.000
Pm1 0.167 0.833 0.500
Pm2 0.500 0.500 0.500
Pm3 0.833 0.167 0.500
Dy1 0.083 0.418 0.249
Dy2 0.251 0.251 0.751
Dy3 0.418 0.083 0.249
Dy4 0.582 0.917 0.751
Dy5 0.749 0.749 0.249
Dy6 0.917 0.582 0.751
Er1 0.333 0.667 0.000
Er2 0.667 0.333 0.000

=====

[6]
DFT (PBE) results for LaPm2DyEr2 after structural relaxation.

Calculated values
calculated total energy: -4.538 eV per atom
symmetry: Pnnm (58)

a b c (Å): 6.986 16.334 3.536
angles (deg): 90.00 90.00 90.00
Atoms (fractional coordinates):
La1 0.000 0.000 0.000
La2 0.500 0.500 0.500
Pm1 0.247 0.339 0.000
Pm2 0.253 0.839 0.500
Pm3 0.747 0.161 0.500
Pm4 0.753 0.661 0.000
Dy1 0.000 0.500 0.500
Dy2 0.500 0.000 0.000
Er1 0.249 0.154 0.500
Er2 0.251 0.654 0.000
Er3 0.749 0.346 0.000
Er4 0.751 0.846 0.500

=====

[7]
DFT (PBE) results for La3Pm6Dy2Er after structural relaxation.

Calculated values
calculated total energy: -4.733 eV per atom
symmetry: C2/m (12)

a b c (Å): 6.321 6.321 12.087
angles (deg): 95.02 95.02 120.05
Atoms (fractional coordinates):
La1 0.000 0.000 0.000
La2 0.333 0.667 0.000
La3 0.667 0.333 0.000
Pm1 0.086 0.419 0.256
Pm2 0.248 0.248 0.744
Pm3 0.419 0.086 0.256
Pm4 0.581 0.914 0.744
Pm5 0.752 0.752 0.256
Pm6 0.914 0.581 0.744
Dy1 0.167 0.833 0.500
Dy2 0.833 0.167 0.500
Er1 0.500 0.500 0.500

=====

[8]
DFT (PBE) results for LaPmDyEr after structural relaxation.

Calculated values
calculated total energy: -4.609 eV per atom
symmetry: F-43m (216)

a b c (Å): 5.756 5.756 5.756
angles (deg): 60.00 60.00 60.00
Atoms (fractional coordinates):
La1 0.000 0.000 0.000
Pm1 0.500 0.500 0.500
Dy1 0.250 0.250 0.250
Er1 0.750 0.750 0.750